First-principles (GGA+U) data for crystalline MgCoF at its relaxed geometry, as listed in the Alexandria database.

excess energy over the best structure of this formula in the dataset = 0.981 eV per atom
final energy = -3.2159 eV/atom
crystal system = hexagonal

a = 3.5055 Å, b = 3.5055 Å, c = 9.4122 Å
α = 90.00°, β = 90.00°, γ = 120.00°
Closest atoms and distances in Å follow each position.
Sites, in units of the cell vectors:
F 0.3333 0.6667 0.2500  3 Co 2.02
F 0.6667 0.3333 0.7500  3 Co 2.02
Co 0.3333 0.6667 0.7500  3 F 2.02
Co 0.6667 0.3333 0.2500  3 F 2.02
Mg 0.0000 0.0000 0.5000  6 F 3.10, 6 Co 3.10
Mg 0.0000 0.0000 0.0000  6 Co 3.10, 6 F 3.10